Record 1
A plane-wave DFT calculation with PBE-GGA was carried out for a relaxed Li2Be3Pd4 crystal.

```
Li2Be3Pd4
1.0
-3.0371 -2.7532 -0.7645
-0.1081 -3.4822 2.1124
-3.3050 3.5511 5.6844
Be Li Pd
3 2 4
Cartesian
-3.6610 -1.9323 4.4799
0.0000 0.0000 0.0000
-2.7893 -0.7520 2.5525
-3.1840 -3.3359 2.2013
-3.2662 0.6517 4.8310
-1.4684 -1.7497 0.9710
-1.5333 -2.4210 3.7924
-4.9819 -0.9346 6.0614
-4.9169 -0.2632 3.2400
```

Size of the total moment ... 0.00 μB per cell
E ... -0.163 Ha/atom
SG ... No. 2



Record 2
A plane-wave DFT calculation with PBE-GGA was carried out for a relaxed LiBe4Pd5 crystal.

```
LiBe4Pd5
1.0
2.8468 0.0000 0.0000
0.0000 2.8468 0.0000
0.0000 0.0000 14.4217
Pd Be Li
5 4 1
Cartesian
1.4234 1.4234 10.0110
1.4234 1.4234 7.2108
1.4234 1.4234 12.7969
1.4234 1.4234 4.4107
1.4234 1.4234 1.6248
0.0000 0.0000 11.4864
0.0000 0.0000 8.6169
0.0000 0.0000 2.9352
0.0000 0.0000 5.8048
0.0000 0.0000 0.0000
```

Size of the total moment ... 0.00 μB per cell
E ... -0.178 Ha/atom
SG ... No. 123



Record 3
A plane-wave DFT calculation with PBE-GGA was carried out for a relaxed Li5Be2Pd12 crystal.

```
Li5Be2Pd12
1.0
-3.5009 4.0457 -2.0583
3.8710 -3.6292 -5.7349
-5.4923 -3.9508 1.5761
Pd Be Li
12 2 5
Cartesian
-1.2952 -1.5419 -4.7095
-1.8567 -5.2570 -3.0187
-3.3610 0.8422 -0.6103
-0.5855 0.0748 -6.8395
-3.8270 -1.9924 -1.5077
-5.5294 -0.0251 -2.5086
-3.6795 -3.1505 -4.0904
-3.2655 1.7226 -3.1985
-1.4427 -0.3839 -2.1268
0.4072 -3.5093 -3.7086
-1.7612 -4.3766 -5.6069
-4.5367 -3.6092 0.6223
-2.4097 2.7847 -1.4168
-1.0911 1.2609 -0.6415
-1.7323 -2.8132 -2.5830
1.1251 -0.8609 -3.6059
-2.7461 -1.9754 0.7880
-6.2473 -2.6734 -2.6113
-3.3899 -0.7212 -3.6342
```

Size of the total moment ... 0.00 μB per cell
E ... -0.162 Ha/atom
SG ... No. 12



Record 4
A plane-wave DFT calculation with PBE-GGA was carried out for a relaxed LiBePd crystal.

```
LiBePd
1.0
4.0139 0.0007 0.0008
2.0063 3.4650 0.2841
-0.0008 -0.4146 5.0661
Pd Be Li
2 2 2
Cartesian
5.3412 2.5889 0.9091
3.3341 1.2969 2.4853
3.3322 1.0768 5.1859
1.3286 0.2110 1.5374
1.3278 -0.0003 4.1214
5.3404 2.3794 3.4714
```

Size of the total moment ... 0.00 μB per cell
ΔE to the lowest computed polymorph ... 58.5 meV per atom
SG ... No. 156



Record 5
A plane-wave DFT calculation with PBE-GGA was carried out for a relaxed Li3Be2Pd3 crystal.

```
Li3Be2Pd3
1.0
-1.4934 -1.4595 1.8364
4.8757 -4.2809 0.5627
-0.2453 5.1906 3.9258
Pd Be Li
3 2 3
Cartesian
2.0974 -3.2269 1.2464
1.1827 -0.3507 2.7885
-0.8898 2.2980 3.2082
1.4617 2.0335 2.8048
3.1687 -1.1237 1.6838
1.1664 -1.0241 0.1346
3.5226 0.6921 3.4148
-0.0587 1.2418 0.9392
```

Size of the total moment ... 0.00 μB per cell
E ... -0.149 Ha/atom
SG ... No. 189



Record 6
A plane-wave DFT calculation with PBE-GGA was carried out for a relaxed Li3BePd4 crystal.

```
Li3BePd4
1.0
-1.4905 -2.3443 0.8366
1.5989 -1.6491 -1.7725
8.0063 -1.8867 8.9775
Li Pd Be
3 4 1
Cartesian
6.0869 -3.4183 6.2966
4.0573 -2.9401 4.0208
2.0277 -2.4618 1.7451
7.1067 -1.6747 7.9688
5.0305 -1.1854 5.6407
0.8996 -0.2120 1.0087
2.9758 -0.7012 3.3368
0.0542 -1.9967 -0.4679
```

Size of the total moment ... 0.00 μB per cell
E ... -0.156 Ha/atom
SG ... No. 123